Record 1
The following is a DFT calculation (PBE) of a relaxed structure of ZnPtCl2.

energy relative to the elements, uncorrected: 216 meV/atom
density: 4723 kg/m3
energy above the lowest structure with this stoichiometry: 0.625 eV/atom
DFT total energy: -2.54 eV per atom

a b c (Å): 9.8698 9.8698 9.8698
angles (deg): 21.83 21.83 21.83
Sites, in units of the cell vectors:
Zn (0.0000, 0.0000, 0.0000)
Pt (0.5000, 0.5000, 0.5000)
Cl (0.1197, 0.1197, 0.1197)
Cl (0.8803, 0.8803, 0.8803)

Record 2
The following is a DFT calculation (PBE) of a relaxed structure of ScSiBr.

energy relative to the elements, uncorrected: -1055 meV/atom
density: 3589 kg/m3
DFT total energy: -5.53 eV per atom

a b c (Å): 3.9215 3.9215 10.8748
angles (deg): 100.58 100.58 59.99
Sites, in units of the cell vectors:
Sc (0.0565, 0.0565, 0.1664)
Sc (0.9435, 0.9435, 0.8336)
Si (0.3379, 0.3379, 0.0133)
Si (0.6621, 0.6621, 0.9867)
Br (0.2221, 0.2221, 0.6725)
Br (0.7779, 0.7779, 0.3275)

Record 3
The following is a DFT calculation (PBE) of a relaxed structure of CaGaTe3.

energy relative to the elements, uncorrected: 1 meV/atom
density: 4032 kg/m3
energy above the lowest structure with this stoichiometry: 0.310 eV/atom
DFT total energy: -2.89 eV per atom

a b c (Å): 5.8758 5.8758 5.8758
angles (deg): 90.00 90.00 90.00
Sites, in units of the cell vectors:
Ca (0.0000, 0.0000, 0.0000)
Ga (0.5000, 0.5000, 0.5000)
Te (0.0000, 0.0000, 0.5000)
Te (0.0000, 0.5000, 0.0000)
Te (0.5000, 0.0000, 0.0000)

What did the third record say?
The following is a DFT calculation (PBE) of a relaxed structure of CaGaTe3.

energy relative to the elements, uncorrected: 1 meV/atom
density: 4032 kg/m3
energy above the lowest structure with this stoichiometry: 0.310 eV/atom
DFT total energy: -2.89 eV per atom

a b c (Å): 5.8758 5.8758 5.8758
angles (deg): 90.00 90.00 90.00
Sites, in units of the cell vectors:
Ca (0.0000, 0.0000, 0.0000)
Ga (0.5000, 0.5000, 0.5000)
Te (0.0000, 0.0000, 0.5000)
Te (0.0000, 0.5000, 0.0000)
Te (0.5000, 0.0000, 0.0000)

Copy entry 2 word for word.
The following is a DFT calculation (PBE) of a relaxed structure of ScSiBr.

energy relative to the elements, uncorrected: -1055 meV/atom
density: 3589 kg/m3
DFT total energy: -5.53 eV per atom

a b c (Å): 3.9215 3.9215 10.8748
angles (deg): 100.58 100.58 59.99
Sites, in units of the cell vectors:
Sc (0.0565, 0.0565, 0.1664)
Sc (0.9435, 0.9435, 0.8336)
Si (0.3379, 0.3379, 0.0133)
Si (0.6621, 0.6621, 0.9867)
Br (0.2221, 0.2221, 0.6725)
Br (0.7779, 0.7779, 0.3275)

Which formula does entry 1 have?
ZnPtCl2